The following is a DFT calculation (meta-GGA SCAN) of CuTcPt2 at its PBEsol-relaxed geometry.

Output
Formation enthalpy at 0 K ... -121.2 meV/atom
Volume ... 13.89 Å³/atom
Energy ... -191.13 eV per formula unit
Excess energy over the best structure of this formula in the dataset ... 132 meV/atom

abc: 2.721 2.721 8.811
angles: 81.12 81.12 60.00
Atoms (fractional coordinates):
1 Pt 0.749 0.749 0.754
2 Tc 0.500 0.500 0.500
3 Pt 0.251 0.251 0.246
4 Cu 0.000 0.000 0.000